# U3Si

U3Si after structural relaxation (GGA-PBE, Alexandria).

Energy relative to the elements, uncorrected in meV/atom: -222

Geometry as CIF:
```
data_U3Si
_cell_length_a 4.251
_cell_length_b 4.251
_cell_length_c 4.251
_cell_angle_alpha 90.00
_cell_angle_beta 90.00
_cell_angle_gamma 90.00
_space_group_name_H-M_alt 'P m -3 m'
_space_group_IT_number 221
_space_group_name_Hall '-P 4 2 3'
loop_
_atom_site_label
_atom_site_fract_x
_atom_site_fract_y
_atom_site_fract_z
U1 0.000 0.000 0.500
Si1 0.500 0.500 0.500
```

# HoTh

HoTh after structural relaxation (GGA-PBE, Alexandria).

Formation enthalpy at 0 K in meV/atom: 55

Geometry as CIF:
```
data_HoTh
_cell_length_a 5.003
_cell_length_b 5.027
_cell_length_c 10.127
_cell_angle_alpha 90.00
_cell_angle_beta 90.00
_cell_angle_gamma 90.00
_space_group_name_H-M_alt 'I m m a'
_space_group_IT_number 74
_space_group_name_Hall '-I 2b 2'
loop_
_atom_site_label
_atom_site_fract_x
_atom_site_fract_y
_atom_site_fract_z
Ho1 0.000 0.250 0.125
Th1 0.000 0.250 0.625
```

# PrPa5Ge6

PrPa5Ge6 after structural relaxation (GGA-PBE, Alexandria).

Formation enthalpy at 0 K in meV/atom: -487

Geometry as CIF:
```
data_PrPa5Ge6
_cell_length_a 7.216
_cell_length_b 12.500
_cell_length_c 7.216
_cell_angle_alpha 90.00
_cell_angle_beta 109.45
_cell_angle_gamma 90.00
_space_group_name_H-M_alt 'C 1 2/m 1'
_space_group_IT_number 12
_space_group_name_Hall '-C 2y'
loop_
_atom_site_label
_atom_site_fract_x
_atom_site_fract_y
_atom_site_fract_z
Pr1 0.000 0.000 0.000
Pa1 0.000 0.164 0.500
Pa2 0.000 0.332 0.000
Pa3 0.000 0.500 0.500
Ge1 0.241 0.500 0.254
Ge2 0.243 0.329 0.744
```

Calculated energy in order - -10.0440; -5.9434; -7.1505 eV per atom
Calculated magnetization in order - 0.01; 0.00; 0.00 μB per cell